Entry from Alexandria: Co3Pt at its PBEsol-relaxed geometry (SCAN).

abc: 4.0889 4.4422 5.1238
angles: 90.00 90.00 90.00
Element x y z (fractional)
Co 0.0000 0.1591 0.7518
Pt 0.0000 0.6621 0.0000
Co 0.5000 0.8409 0.2518
Co 0.0000 0.1591 0.2482
Pt 0.5000 0.3379 0.5000
Co 0.0000 0.6852 0.5000
Co 0.5000 0.8409 0.7482
Co 0.5000 0.3148 0.0000

Summary:
- Total magnetization: 12.0 μB per cell
- ΔE_f: -0.12 eV/atom
- Space group: Pmmn (59)
- Fermi-level density of states: 4.5 states/eV per cell


Entry from Alexandria: Co12Pt17 at its PBEsol-relaxed geometry (SCAN).

abc: 7.9558 7.9558 7.9558
angles: 109.47 109.47 109.47
Element x y z (fractional)
Pt 0.3914 0.3914 0.7080
Co 0.8221 0.1842 0.1842
Co 0.3621 0.1779 0.3621
Co 0.6379 0.0000 0.8158
Pt 0.6086 0.3166 0.0000
Pt 0.2920 0.6834 0.6834
Pt 0.6606 0.6606 0.6606
Pt 0.0000 0.3166 0.6086
Pt 0.6834 0.6834 0.2920
Pt 0.0000 0.0000 0.0000
Co 0.8158 0.6379 0.0000
Pt 0.3166 0.6086 0.0000
Pt 0.6834 0.2920 0.6834
Pt 0.6086 0.0000 0.3166
Pt 0.3166 0.0000 0.6086
Co 0.6379 0.8158 0.0000
Pt 0.3394 0.0000 0.0000
Co 0.0000 0.6379 0.8158
Pt 0.7080 0.3914 0.3914
Co 0.8158 0.0000 0.6379
Co 0.1842 0.1842 0.8221
Pt 0.0000 0.3394 0.0000
Pt 0.0000 0.6086 0.3166
Co 0.0000 0.8158 0.6379
Co 0.1842 0.8221 0.1842
Pt 0.3914 0.7080 0.3914
Co 0.1779 0.3621 0.3621
Co 0.3621 0.3621 0.1779
Pt 0.0000 0.0000 0.3394

Summary:
- Total magnetization: 31.7 μB per cell
- ΔE_f: -0.07 eV/atom
- Space group: I-43m (217)
- Fermi-level density of states: 19.4 states/eV per cell


Entry from Alexandria: CoPt3 at its PBEsol-relaxed geometry (SCAN).

abc: 4.6979 5.4149 8.8506
angles: 90.00 90.00 90.00
Element x y z (fractional)
Pt 0.2426 0.1285 0.0034
Pt 0.7574 0.8715 0.9966
Pt 0.0838 0.3860 0.7500
Pt 0.7426 0.3715 0.0034
Pt 0.2574 0.6285 0.5034
Pt 0.9162 0.6140 0.2500
Pt 0.4162 0.8860 0.2500
Co 0.9179 0.1256 0.2500
Co 0.4179 0.3744 0.2500
Co 0.0821 0.8744 0.7500
Pt 0.5838 0.1140 0.7500
Pt 0.2574 0.6285 0.9966
Pt 0.2426 0.1285 0.4966
Pt 0.7574 0.8715 0.5034
Pt 0.7426 0.3715 0.4966
Co 0.5821 0.6256 0.7500

Summary:
- Total magnetization: 12.3 μB per cell
- ΔE_f: -0.08 eV/atom
- Space group: Pnma (62)
- Fermi-level density of states: 13.3 states/eV per cell


Q: total magnetization of number 2 (Co12Pt17)?
A: 31.7 μB per cell


Q: Which value of ΔE_f does entry 3 give?
A: -0.08 eV/atom